1.
Density functional theory data (PBE) for Zr3AlPd2 after structural relaxation.

Summary:
- space-group type = P4/mmm (123)
- ρ (Mg/m³) = 7.59

a = 3.042 Å, b = 3.042 Å, c = 12.146 Å
α = 90.00°, β = 90.00°, γ = 90.00°
Positions (direct):
1 Zr 0.000 0.000 0.000
2 Zr 0.000 0.000 0.330
3 Zr 0.000 0.000 0.670
4 Al 0.500 0.500 0.500
5 Pd 0.500 0.500 0.163
6 Pd 0.500 0.500 0.837

***

2.
Density functional theory data (PBE) for ZrAl2Pd after structural relaxation.

Summary:
- space-group type = P4/mmm (123)
- ρ (Mg/m³) = 6.11

a = 4.124 Å, b = 4.124 Å, c = 4.022 Å
α = 90.00°, β = 90.00°, γ = 90.00°
Positions (direct):
1 Zr 0.000 0.000 0.000
2 Al 0.000 0.500 0.500
3 Al 0.500 0.000 0.500
4 Pd 0.500 0.500 0.000

***

3.
Density functional theory data (PBE) for Zr2AlPd after structural relaxation.

Summary:
- space-group type = P4/mmm (123)
- ρ (Mg/m³) = 6.96

a = 4.228 Å, b = 4.228 Å, c = 4.215 Å
α = 90.00°, β = 90.00°, γ = 90.00°
Positions (direct):
1 Zr 0.000 0.500 0.000
2 Zr 0.500 0.000 0.000
3 Al 0.000 0.000 0.500
4 Pd 0.500 0.500 0.500

***

4.
Density functional theory data (PBE) for ZrAlPd after structural relaxation.

Summary:
- space-group type = C2/m (12)
- ρ (Mg/m³) = 6.95

a = 5.710 Å, b = 5.710 Å, c = 7.206 Å
α = 124.86°, β = 124.86°, γ = 34.78°
Positions (direct):
1 Zr 0.092 0.092 0.322
2 Zr 0.908 0.908 0.678
3 Al 0.359 0.359 0.310
4 Al 0.641 0.641 0.690
5 Pd 0.347 0.347 0.940
6 Pd 0.653 0.653 0.060

***

5.
Density functional theory data (PBE) for ZrAlPd after structural relaxation.

Summary:
- space-group type = Cmcm (63)
- ρ (Mg/m³) = 6.93

a = 5.219 Å, b = 5.219 Å, c = 5.366 Å
α = 90.00°, β = 90.00°, γ = 132.54°
Positions (direct):
1 Zr 0.204 0.796 0.750
2 Zr 0.796 0.204 0.250
3 Al 0.500 0.500 0.000
4 Al 0.500 0.500 0.500
5 Pd 0.094 0.906 0.250
6 Pd 0.906 0.094 0.750

***

6.
Density functional theory data (PBE) for ZrAlPd after structural relaxation.

Summary:
- space-group type = Immm (71)
- ρ (Mg/m³) = 7.15

a = 5.454 Å, b = 5.454 Å, c = 5.454 Å
α = 130.85°, β = 117.87°, γ = 83.02°
Positions (direct):
1 Zr 0.247 0.000 0.247
2 Zr 0.753 0.000 0.753
3 Al 0.331 0.331 0.000
4 Al 0.669 0.669 0.000
5 Pd 0.173 0.673 0.500
6 Pd 0.827 0.327 0.500

***

7.
Density functional theory data (PBE) for Zr2Al3Pd4 after structural relaxation.

Summary:
- polymorph energy (0 for the lowest one) (meV/atom) = 46.2
- space-group type = C2/m (12)
- ρ (Mg/m³) = 7.44

a = 4.606 Å, b = 4.606 Å, c = 8.452 Å
α = 97.94°, β = 97.94°, γ = 60.26°
Positions (direct):
1 Zr 0.129 0.129 0.267
2 Zr 0.871 0.871 0.733
3 Al 0.227 0.227 0.908
4 Al 0.500 0.500 0.500
5 Al 0.773 0.773 0.092
6 Pd 0.195 0.195 0.594
7 Pd 0.450 0.450 0.157
8 Pd 0.550 0.550 0.843
9 Pd 0.805 0.805 0.406

***

8.
Density functional theory data (PBE) for ZrAl2Pd after structural relaxation.

Summary:
- space-group type = R-3m (166)
- ρ (Mg/m³) = 5.91

a = 5.194 Å, b = 5.194 Å, c = 5.194 Å
α = 47.93°, β = 47.93°, γ = 47.93°
Positions (direct):
1 Zr 0.000 0.000 0.000
2 Al 0.219 0.219 0.219
3 Al 0.781 0.781 0.781
4 Pd 0.500 0.500 0.500

***

9.
Density functional theory data (PBE) for ZrAl2Pd after structural relaxation.

Summary:
- space-group type = Pnma (62)
- ρ (Mg/m³) = 5.96

a = 7.747 Å, b = 6.593 Å, c = 5.492 Å
α = 90.00°, β = 90.00°, γ = 90.00°
Positions (direct):
1 Zr 0.027 0.250 0.120
2 Zr 0.473 0.750 0.620
3 Zr 0.527 0.250 0.380
4 Zr 0.973 0.750 0.880
5 Al 0.192 0.049 0.604
6 Al 0.192 0.451 0.604
7 Al 0.308 0.549 0.104
8 Al 0.308 0.951 0.104
9 Al 0.692 0.049 0.896
10 Al 0.692 0.451 0.896
11 Al 0.808 0.549 0.396
12 Al 0.808 0.951 0.396
13 Pd 0.090 0.750 0.365
14 Pd 0.410 0.250 0.865
15 Pd 0.590 0.750 0.135
16 Pd 0.910 0.250 0.635

***

10.
Density functional theory data (PBE) for ZrAl2Pd after structural relaxation.

Summary:
- space-group type = I-42d (122)
- ρ (Mg/m³) = 5.60

a = 5.862 Å, b = 5.862 Å, c = 5.862 Å
α = 103.48°, β = 103.48°, γ = 122.27°
Positions (direct):
1 Zr 0.000 0.000 0.000
2 Zr 0.750 0.250 0.500
3 Al 0.165 0.625 0.040
4 Al 0.375 0.415 0.540
5 Al 0.585 0.125 0.960
6 Al 0.875 0.835 0.460
7 Pd 0.250 0.750 0.500
8 Pd 0.500 0.500 0.000

***

11.
Density functional theory data (PBE) for Zr6AlPd after structural relaxation.

Summary:
- space-group type = I4/mmm (139)
- ρ (Mg/m³) = 6.64

a = 9.052 Å, b = 9.052 Å, c = 9.052 Å
α = 151.34°, β = 151.34°, γ = 40.98°
Positions (direct):
1 Zr 0.116 0.616 0.500
2 Zr 0.249 0.249 0.000
3 Zr 0.384 0.884 0.500
4 Zr 0.616 0.116 0.500
5 Zr 0.751 0.751 0.000
6 Zr 0.884 0.384 0.500
7 Al 0.500 0.500 0.000
8 Pd 0.000 0.000 0.000

***

12.
Density functional theory data (PBE) for Zr2Al2Pd after structural relaxation.

Summary:
- polymorph energy (0 for the lowest one) (meV/atom) = 640.7
- space-group type = P4/mbm (127)
- ρ (Mg/m³) = 5.64

a = 8.085 Å, b = 8.085 Å, c = 3.086 Å
α = 90.00°, β = 90.00°, γ = 90.00°
Positions (direct):
1 Zr 0.133 0.367 0.000
2 Zr 0.367 0.867 0.000
3 Zr 0.633 0.133 0.000
4 Zr 0.867 0.633 0.000
5 Al 0.169 0.669 0.500
6 Al 0.331 0.169 0.500
7 Al 0.669 0.831 0.500
8 Al 0.831 0.331 0.500
9 Pd 0.000 0.000 0.000
10 Pd 0.500 0.500 0.000

***

13.
Density functional theory data (PBE) for ZrAlPd after structural relaxation.

Summary:
- space-group type = I4mm (107)
- ρ (Mg/m³) = 7.13

a = 5.859 Å, b = 5.859 Å, c = 5.859 Å
α = 149.30°, β = 149.30°, γ = 43.98°
Positions (direct):
1 Zr 0.000 0.000 0.000
2 Al 0.316 0.316 0.000
3 Pd 0.684 0.684 0.000

***

14.
Density functional theory data (PBE) for ZrAl2Pd4 after structural relaxation.

Summary:
- space-group type = I4/mmm (139)
- ρ (Mg/m³) = 6.17

a = 7.209 Å, b = 7.209 Å, c = 7.209 Å
α = 139.97°, β = 139.97°, γ = 57.89°
Positions (direct):
1 Zr 0.000 0.000 0.000
2 Al 0.395 0.395 0.000
3 Al 0.605 0.605 0.000
4 Pd 0.000 0.500 0.500
5 Pd 0.201 0.201 0.000
6 Pd 0.500 0.000 0.500
7 Pd 0.799 0.799 0.000

***

15.
Density functional theory data (PBE) for ZrAl5Pd6 after structural relaxation.

Summary:
- space-group type = P2/m (10)
- ρ (Mg/m³) = 7.77

a = 4.394 Å, b = 6.380 Å, c = 6.926 Å
α = 90.00°, β = 107.91°, γ = 90.00°
Positions (direct):
1 Zr 0.000 0.000 0.000
2 Al 0.000 0.500 0.000
3 Al 0.331 0.000 0.664
4 Al 0.334 0.500 0.672
5 Al 0.666 0.500 0.328
6 Al 0.669 0.000 0.336
7 Pd 0.174 0.258 0.344
8 Pd 0.174 0.742 0.344
9 Pd 0.500 0.268 0.000
10 Pd 0.500 0.732 0.000
11 Pd 0.826 0.258 0.656
12 Pd 0.826 0.742 0.656

***

16.
Density functional theory data (PBE) for PmAl3 after structural relaxation.

Summary:
- polymorph energy (0 for the lowest one) (meV/atom) = 18.2
- space-group type = R-3m (166)
- ρ (Mg/m³) = 4.55

a = 7.960 Å, b = 7.960 Å, c = 7.960 Å
α = 47.12°, β = 47.12°, γ = 47.12°
Positions (direct):
1 Pm 0.000 0.000 0.000
2 Pm 0.216 0.216 0.216
3 Pm 0.784 0.784 0.784
4 Al 0.000 0.500 0.500
5 Al 0.273 0.699 0.699
6 Al 0.301 0.301 0.727
7 Al 0.301 0.727 0.301
8 Al 0.500 0.000 0.500
9 Al 0.500 0.500 0.000
10 Al 0.699 0.273 0.699
11 Al 0.699 0.699 0.273
12 Al 0.727 0.301 0.301

***

17.
Density functional theory data (PBE) for Pm5Al2 after structural relaxation.

Summary:
- space-group type = Ibam (72)
- ρ (Mg/m³) = 6.32

a = 9.153 Å, b = 9.153 Å, c = 9.153 Å
α = 127.38°, β = 70.38°, γ = 136.78°
Positions (direct):
1 Pm 0.012 0.250 0.762
2 Pm 0.082 0.661 0.744
3 Pm 0.250 0.250 0.000
4 Pm 0.418 0.161 0.579
5 Pm 0.488 0.250 0.238
6 Pm 0.512 0.750 0.762
7 Pm 0.582 0.839 0.421
8 Pm 0.750 0.750 0.000
9 Pm 0.918 0.339 0.256
10 Pm 0.988 0.750 0.238
11 Al 0.126 0.267 0.393
12 Al 0.374 0.767 0.142
13 Al 0.626 0.233 0.858
14 Al 0.874 0.733 0.607

***

18.
Density functional theory data (PBE) for Pm3Al4 after structural relaxation.

Summary:
- polymorph energy (0 for the lowest one) (meV/atom) = 0.0
- space-group type = Immm (71)
- ρ (Mg/m³) = 5.24

a = 10.511 Å, b = 10.511 Å, c = 10.511 Å
α = 159.55°, β = 154.90°, γ = 32.59°
Positions (direct):
1 Pm 0.000 0.000 0.000
2 Pm 0.307 0.807 0.500
3 Pm 0.693 0.193 0.500
4 Al 0.137 0.637 0.500
5 Al 0.434 0.434 0.000
6 Al 0.566 0.566 0.000
7 Al 0.863 0.363 0.500

***

19.
Density functional theory data (PBE) for Pm8Al after structural relaxation.

Summary:
- space-group type = I4/mmm (139)
- ρ (Mg/m³) = 6.83

a = 8.019 Å, b = 8.019 Å, c = 8.019 Å
α = 95.50°, β = 95.50°, γ = 143.93°
Positions (direct):
1 Pm 0.000 0.329 0.329
2 Pm 0.000 0.671 0.671
3 Pm 0.329 0.000 0.329
4 Pm 0.342 0.342 0.684
5 Pm 0.342 0.658 0.000
6 Pm 0.658 0.342 0.000
7 Pm 0.658 0.658 0.316
8 Pm 0.671 0.000 0.671
9 Al 0.000 0.000 0.000

***

20.
Density functional theory data (PBE) for Pm3Al2 after structural relaxation.

Summary:
- polymorph energy (0 for the lowest one) (meV/atom) = 39.5
- space-group type = I4/mmm (139)
- ρ (Mg/m³) = 5.93

a = 11.406 Å, b = 11.406 Å, c = 11.406 Å
α = 162.31°, β = 162.31°, γ = 25.12°
Positions (direct):
1 Pm 0.000 0.000 0.000
2 Pm 0.184 0.184 0.000
3 Pm 0.816 0.816 0.000
4 Al 0.407 0.407 0.000
5 Al 0.593 0.593 0.000

***

21.
Density functional theory data (PBE) for Pm5Al after structural relaxation.

Summary:
- polymorph energy (0 for the lowest one) (meV/atom) = 63.6
- space-group type = Cmmm (65)
- ρ (Mg/m³) = 6.78

a = 6.268 Å, b = 6.268 Å, c = 5.777 Å
α = 90.00°, β = 90.00°, γ = 125.71°
Positions (direct):
1 Pm 0.000 0.000 0.000
2 Pm 0.156 0.844 0.500
3 Pm 0.345 0.655 0.000
4 Pm 0.655 0.345 0.000
5 Pm 0.844 0.156 0.500
6 Al 0.500 0.500 0.500

***

22.
Density functional theory data (PBE) for Pm3Al2 after structural relaxation.

Summary:
- polymorph energy (0 for the lowest one) (meV/atom) = 0.0
- space-group type = Immm (71)
- ρ (Mg/m³) = 5.89

a = 5.851 Å, b = 5.851 Å, c = 5.851 Å
α = 129.76°, β = 107.64°, γ = 93.29°
Positions (direct):
1 Pm 0.000 0.000 0.000
2 Pm 0.302 0.802 0.500
3 Pm 0.698 0.198 0.500
4 Al 0.306 0.500 0.806
5 Al 0.694 0.500 0.194

***

23.
Density functional theory data (PBE) for Pm5Al3 after structural relaxation.

Summary:
- polymorph energy (0 for the lowest one) (meV/atom) = 0.0
- space-group type = P4/mmm (123)
- ρ (Mg/m³) = 6.00

a = 3.506 Å, b = 3.506 Å, c = 18.146 Å
α = 90.00°, β = 90.00°, γ = 90.00°
Positions (direct):
1 Pm 0.000 0.000 0.000
2 Pm 0.000 0.000 0.226
3 Pm 0.000 0.000 0.774
4 Pm 0.500 0.500 0.387
5 Pm 0.500 0.500 0.613
6 Al 0.000 0.000 0.500
7 Al 0.500 0.500 0.115
8 Al 0.500 0.500 0.885

***

24.
Density functional theory data (PBE) for PmAl3 after structural relaxation.

Summary:
- polymorph energy (0 for the lowest one) (meV/atom) = 0.0
- space-group type = P6_3/mmc (194)
- ρ (Mg/m³) = 4.50

a = 6.435 Å, b = 6.435 Å, c = 4.651 Å
α = 90.00°, β = 90.00°, γ = 120.00°
Positions (direct):
1 Pm 0.333 0.667 0.250
2 Pm 0.667 0.333 0.750
3 Al 0.142 0.285 0.750
4 Al 0.142 0.858 0.750
5 Al 0.285 0.142 0.250
6 Al 0.715 0.858 0.750
7 Al 0.858 0.142 0.250
8 Al 0.858 0.715 0.250

***

| no. | magnetic moment (μB per formula unit) | formation energy from the elements (eV/atom) | DOS at the Fermi energy (states/eV/cell) |
| --- | --- | --- | --- |
| 1 | 0.00 | -0.54 | 4.8 |
| 2 | 0.00 | -0.64 | 1.7 |
| 3 | 0.00 | -0.51 | 4.3 |
| 4 | 0.00 | -0.69 | 3.3 |
| 5 | 0.00 | -0.71 | 3.4 |
| 6 | 0.00 | -0.70 | 2.8 |
| 7 | 0.00 | -0.73 | 5.4 |
| 8 | 0.00 | -0.59 | 1.5 |
| 9 | 0.00 | -0.67 | 5.6 |
| 10 | 0.00 | -0.37 | 3.7 |
| 11 | 0.00 | -0.25 | 6.7 |
| 12 | 0.00 | 0.01 | 6.4 |
| 13 | 0.00 | -0.68 | 2.6 |
| 14 | 0.00 | 0.29 | 4.9 |
| 15 | 0.00 | -0.81 | 3.9 |
| 16 | 0.00 | -0.43 | 4.2 |
| 17 | 0.00 | -0.18 | 16.0 |
| 18 | 0.55 | -0.41 | 5.3 |
| 19 | 0.00 | -0.02 | 12.7 |
| 20 | 0.00 | -0.27 | 3.5 |
| 21 | 0.00 | -0.01 | 6.9 |
| 22 | 0.00 | -0.31 | 4.9 |
| 23 | 0.00 | -0.24 | 6.6 |
| 24 | 0.00 | -0.45 | 3.1 |